Entry 1:
Zn2FeW: optimized geometry, GGA-PBE.

Results
Fermi-level density of states ... 0.728 states/eV/atom
Uncorrected energy ... -68.83 eV for the cell shown
ΔE to the lowest computed polymorph ... 58 kJ/mol of formula units
Formation energy from the elements ... 255 meV/atom

The structure in CIF format:
```
data_Zn2FeW
_chemical_formula_sum 'Zn6 Fe3 W3'
_cell_length_a 2.7410
_cell_length_b 2.7410
_cell_length_c 26.5575
_cell_angle_alpha 90.00
_cell_angle_beta 90.00
_cell_angle_gamma 120.00
_space_group_name_H-M_alt 'R -3 m'
_space_group_IT_number 166
_space_group_name_Hall '-R 3 2"'
loop_
_atom_site_label
_atom_site_type_symbol
_atom_site_fract_x
_atom_site_fract_y
_atom_site_fract_z
_atom_site_occupancy
Zn1 Zn 0.0000 0.0000 0.2459 1
Fe1 Fe 0.0000 0.0000 0.5000 1
W1 W 0.0000 0.0000 0.0000 1
```

=====

Entry 2:
Zn2Fe2W: optimized geometry, GGA-PBE.

Results
Fermi-level density of states ... 0.939 states/eV/atom
Uncorrected energy ... -60.56 eV for the cell shown
Formation energy from the elements ... 429 meV/atom

The structure in CIF format:
```
data_Zn2Fe2W
_chemical_formula_sum 'Zn4 Fe4 W2'
_cell_length_a 6.548
_cell_length_b 6.548
_cell_length_c 3.045
_cell_angle_alpha 90.00
_cell_angle_beta 90.00
_cell_angle_gamma 90.00
_space_group_name_H-M_alt 'P 4/m b m'
_space_group_IT_number 127
_space_group_name_Hall '-P 4 2ab'
loop_
_atom_site_label
_atom_site_type_symbol
_atom_site_fract_x
_atom_site_fract_y
_atom_site_fract_z
_atom_site_occupancy
Zn1 Zn 0.165 0.335 0.000 1
Fe1 Fe 0.132 0.632 0.500 1
W1 W 0.000 0.000 0.500 1
```

=====

Entry 3:
Zn2FeW: optimized geometry, GGA-PBE.

Results
Fermi-level density of states ... 0.633 states/eV/atom
Uncorrected energy ... -45.93 eV for the cell shown
ΔE to the lowest computed polymorph ... 56 kJ/mol of formula units
Formation energy from the elements ... 250 meV/atom

The structure in CIF format:
```
data_Zn2FeW
_chemical_formula_sum 'Zn4 Fe2 W2'
_cell_length_a 2.833
_cell_length_b 4.385
_cell_length_c 8.975
_cell_angle_alpha 90.00
_cell_angle_beta 90.00
_cell_angle_gamma 90.00
_space_group_name_H-M_alt 'I m m m'
_space_group_IT_number 71
_space_group_name_Hall '-I 2 2'
loop_
_atom_site_label
_atom_site_type_symbol
_atom_site_fract_x
_atom_site_fract_y
_atom_site_fract_z
_atom_site_occupancy
Zn1 Zn 0.000 0.000 0.236 1
Fe1 Fe 0.000 0.500 0.500 1
W1 W 0.000 0.500 0.000 1
```

=====

Entry 4:
ZnFeW2: optimized geometry, GGA-PBE.

Results
Fermi-level density of states ... 0.758 states/eV/atom
Uncorrected energy ... -34.63 eV for the cell shown
Formation energy from the elements ... 252 meV/atom

The structure in CIF format:
```
data_ZnFeW2
_chemical_formula_sum 'Zn1 Fe1 W2'
_cell_length_a 2.638
_cell_length_b 4.266
_cell_length_c 5.334
_cell_angle_alpha 90.00
_cell_angle_beta 103.96
_cell_angle_gamma 90.00
_space_group_name_H-M_alt 'P 1 2/m 1'
_space_group_IT_number 10
_space_group_name_Hall '-P 2y'
loop_
_atom_site_label
_atom_site_type_symbol
_atom_site_fract_x
_atom_site_fract_y
_atom_site_fract_z
_atom_site_occupancy
Zn1 Zn 0.000 0.000 0.000 1
Fe1 Fe 0.000 0.000 0.500 1
W1 W 0.486 0.500 0.744 1
```

=====

Entry 5:
Zn2FeW: optimized geometry, GGA-PBE.

Results
Fermi-level density of states ... 0.599 states/eV/atom
Uncorrected energy ... -22.99 eV for the cell shown
ΔE to the lowest computed polymorph ... 54 kJ/mol of formula units
Formation energy from the elements ... 244 meV/atom

The structure in CIF format:
```
data_Zn2FeW
_chemical_formula_sum 'Zn2 Fe1 W1'
_cell_length_a 3.721
_cell_length_b 3.721
_cell_length_c 4.021
_cell_angle_alpha 90.00
_cell_angle_beta 90.00
_cell_angle_gamma 90.00
_space_group_name_H-M_alt 'P 4/m m m'
_space_group_IT_number 123
_space_group_name_Hall '-P 4 2'
loop_
_atom_site_label
_atom_site_type_symbol
_atom_site_fract_x
_atom_site_fract_y
_atom_site_fract_z
_atom_site_occupancy
Zn1 Zn 0.000 0.500 0.000 1
Fe1 Fe 0.000 0.000 0.500 1
W1 W 0.500 0.500 0.500 1
```

=====

Entry 6:
ZnFe2W: optimized geometry, GGA-PBE.

Results
Fermi-level density of states ... 0.637 states/eV/atom
Uncorrected energy ... -61.45 eV for the cell shown
Formation energy from the elements ... 107 meV/atom

The structure in CIF format:
```
data_ZnFe2W
_chemical_formula_sum 'Zn2 Fe4 W2'
_cell_length_a 3.161
_cell_length_b 4.170
_cell_length_c 8.162
_cell_angle_alpha 90.00
_cell_angle_beta 90.00
_cell_angle_gamma 90.00
_space_group_name_H-M_alt 'C m m m'
_space_group_IT_number 65
_space_group_name_Hall '-C 2 2'
loop_
_atom_site_label
_atom_site_type_symbol
_atom_site_fract_x
_atom_site_fract_y
_atom_site_fract_z
_atom_site_occupancy
Zn1 Zn 0.000 0.000 0.000 1
Fe1 Fe 0.000 0.500 0.246 1
W1 W 0.000 0.000 0.500 1
```

=====

Entry 7:
ZnFeW2: optimized geometry, GGA-PBE.

Results
Fermi-level density of states ... 0.649 states/eV/atom
Uncorrected energy ... -68.83 eV for the cell shown
Formation energy from the elements ... 308 meV/atom

The structure in CIF format:
```
data_ZnFeW2
_chemical_formula_sum 'Zn2 Fe2 W4'
_cell_length_a 9.069
_cell_length_b 2.639
_cell_length_c 4.914
_cell_angle_alpha 90.00
_cell_angle_beta 96.50
_cell_angle_gamma 90.00
_space_group_name_H-M_alt 'C 1 m 1'
_space_group_IT_number 8
_space_group_name_Hall 'C -2y'
loop_
_atom_site_label
_atom_site_type_symbol
_atom_site_fract_x
_atom_site_fract_y
_atom_site_fract_z
_atom_site_occupancy
Zn1 Zn 0.000 0.000 0.000 1
Fe1 Fe 0.255 0.000 0.767 1
W1 W 0.009 0.500 0.513 1
W2 W 0.251 0.500 0.253 1
```

=====

Entry 8:
ZnFe3W: optimized geometry, GGA-PBE.

Results
Fermi-level density of states ... 0.967 states/eV/atom
Uncorrected energy ... -31.96 eV for the cell shown
ΔE to the lowest computed polymorph ... 0 kJ/mol of formula units
Formation energy from the elements ... 1531 meV/atom

The structure in CIF format:
```
data_ZnFe3W
_chemical_formula_sum 'Zn1 Fe3 W1'
_cell_length_a 4.484
_cell_length_b 4.484
_cell_length_c 4.484
_cell_angle_alpha 90.00
_cell_angle_beta 90.00
_cell_angle_gamma 90.00
_space_group_name_H-M_alt 'P m -3 m'
_space_group_IT_number 221
_space_group_name_Hall '-P 4 2 3'
loop_
_atom_site_label
_atom_site_type_symbol
_atom_site_fract_x
_atom_site_fract_y
_atom_site_fract_z
_atom_site_occupancy
Zn1 Zn 0.000 0.000 0.000 1
Fe1 Fe 0.000 0.500 0.500 1
W1 W 0.500 0.500 0.500 1
```

=====

- uncorrected energy of number 6 (ZnFe2W)?
  -61.45 eV for the cell shown

=====

- Among the records above, which one has the highest uncorrected energy?
  number 5

=====

- What is the formation energy from the elements in the first record?
  255 meV/atom